Material: BeVSeN2
Method: DFT, PBE
State: optimized geometry

The structure in POSCAR format:
```
BeVSeN2
1.0
-2.378 -2.332 -1.510
2.223 -0.405 -2.876
2.460 -4.115 2.482
Be N Se V
1 2 1 1
Cartesian
1.153 -3.427 -0.952
1.112 -0.203 -1.438
-1.189 -1.166 -0.755
1.230 -2.058 1.241
0.000 0.000 0.000
```

Computed properties:
Crystal system ... tetragonal
Polymorph energy (0 for the lowest one) ... 0 meV/atom
E_form (uncorrected) ... 0.410 eV/atom
SG ... P4/mmm, No. 123